(1)
{
  "formula": "CaInTc",
  "functional": "meta-GGA SCAN",
  "state": "single point on PBEsol structure",
  "cell": [[-1.772, 1.772, 5.117], [1.772, -1.772, 5.117], [1.772, 1.772, -5.117]],
  "species": ["Ca", "In", "Tc"],
  "frac_coords": [[0.000, 0.000, 0.000], [0.708, 0.708, 0.000], [0.308, 0.308, 0.000]],
  "m_tot_mub_per_atom": 0.136,
  "volume_a3_per_fu": 64.2,
  "dft_energy_ev_per_atom": -25.79,
  "delta_e_f_mev_per_atom": 244,
  "space_group": "I4mm, No. 107"
}

(2)
{
  "formula": "MgRe",
  "functional": "meta-GGA SCAN",
  "state": "single point on PBEsol structure",
  "cell": [[5.192, -1.329, 0.000], [5.192, 1.329, 0.000], [-2.353, 0.000, 4.592]],
  "species": ["Mg", "Mg", "Re", "Re"],
  "frac_coords": [[0.123, 0.123, 0.476], [0.877, 0.877, 0.524], [0.380, 0.380, 0.019], [0.620, 0.620, 0.981]],
  "m_tot_mub_per_atom": 0.000,
  "volume_a3_per_fu": 31.7,
  "dft_energy_ev_per_atom": -37.69,
  "delta_e_f_mev_per_atom": 348,
  "space_group": "C2/m, No. 12",
  "e_above_lowest_polymorph_ev_per_atom": 0.327
}